# 1
! PBE Si2AsOs, relaxed; values from VASP
! - SG: Imm2
! - Final energy: -6.479 eV per atom
! - E_form (uncorrected): 0.20 eV/atom
&SYSTEM
  ibrav = 0, nat = 4, ntyp = 3
/
ATOMIC_SPECIES
Si 28.09 Si.upf
As 74.92 As.upf
Os 190.23 Os.upf
CELL_PARAMETERS angstrom
6.357 0.015 -0.016
4.512 4.477 0.016
-5.175 -2.873 2.317
ATOMIC_POSITIONS crystal
Si 0.770 0.270 0.500
Si 0.061 0.061 0.000
As 0.440 0.440 0.000
Os 0.228 0.728 0.500



# 2
! PBE PrSm3DyEr, relaxed; values from VASP
! - SG: C2/m
! - Energy relative to the elements: 0.20 eV per atom
! - Final energy: -4.489 eV per atom
&SYSTEM
  ibrav = 0, nat = 12, ntyp = 4
/
ATOMIC_SPECIES
Dy 162.50 Dy.upf
Er 167.26 Er.upf
Sm 150.36 Sm.upf
Pr 140.91 Pr.upf
CELL_PARAMETERS angstrom
5.761 0.000 0.000
-2.880 10.026 1.664
0.000 -1.168 6.800
ATOMIC_POSITIONS crystal
Dy 0.943 0.885 0.731
Dy 0.057 0.115 0.269
Er 0.353 0.706 0.535
Er 0.647 0.294 0.465
Sm 0.220 0.440 0.248
Sm 0.780 0.560 0.752
Sm 0.481 0.962 0.259
Sm 0.839 0.678 0.268
Sm 0.161 0.322 0.732
Sm 0.519 0.038 0.741
Pr 0.645 0.289 0.020
Pr 0.355 0.711 0.980



# 3
! PBE CaLa2Hg, relaxed; values from VASP
! - SG: R3m
! - Energy relative to the elements: -0.17 eV per atom
! - Final energy: -3.207 eV per atom
&SYSTEM
  ibrav = 0, nat = 4, ntyp = 3
/
ATOMIC_SPECIES
La 138.91 La.upf
Ca 40.08 Ca.upf
Hg 200.59 Hg.upf
CELL_PARAMETERS angstrom
-4.628 5.861 8.371
-6.001 2.381 9.174
-2.519 3.391 10.392
ATOMIC_POSITIONS crystal
La 0.253 0.253 0.253
La 0.008 0.008 0.008
Ca 0.487 0.487 0.487
Hg 0.751 0.751 0.751



# 4
! PBE TcTeI2Cl, relaxed; values from VASP
! - SG: P4/mmm
! - Offset from the most stable computed form: 0 meV/atom
! - Final energy: -3.349 eV per atom
! - E_form (uncorrected): 0.34 eV/atom
&SYSTEM
  ibrav = 0, nat = 5, ntyp = 4
/
ATOMIC_SPECIES
I 126.90 I.upf
Te 127.60 Te.upf
Cl 35.45 Cl.upf
Tc 98.00 Tc.upf
CELL_PARAMETERS angstrom
-4.140 -1.052 -3.442
3.066 -3.779 -2.533
-1.762 -3.583 3.214
ATOMIC_POSITIONS crystal
I 0.500 0.000 0.000
I 0.000 0.500 0.000
Te 0.000 0.000 0.500
Cl 0.500 0.500 0.500
Tc 0.000 0.000 0.000



# 5
! PBE La4YTh, relaxed; values from VASP
! - SG: C2/m
! - Offset from the most stable computed form: 0 meV/atom
! - Energy relative to the elements: 0.18 eV per atom
! - Final energy: -5.421 eV per atom
&SYSTEM
  ibrav = 0, nat = 6, ntyp = 3
/
ATOMIC_SPECIES
La 138.91 La.upf
Th 232.04 Th.upf
Y 88.91 Y.upf
CELL_PARAMETERS angstrom
3.521 0.000 0.000
-1.760 5.410 -2.313
0.000 -1.103 11.689
ATOMIC_POSITIONS crystal
La 0.664 0.329 0.339
La 0.846 0.693 0.157
La 0.154 0.307 0.843
La 0.336 0.671 0.661
Th 0.500 0.000 0.000
Y 0.000 0.000 0.500



# 6
! PBE TcBiRh, relaxed; values from VASP
! - SG: Imm2
! - Offset from the most stable computed form: 189 meV/atom
! - Energy relative to the elements: 0.56 eV per atom
! - Final energy: -6.635 eV per atom
&SYSTEM
  ibrav = 0, nat = 6, ntyp = 3
/
ATOMIC_SPECIES
Bi 208.98 Bi.upf
Rh 102.91 Rh.upf
Tc 98.00 Tc.upf
CELL_PARAMETERS angstrom
3.045 0.000 0.000
0.000 4.439 0.000
0.000 0.000 8.400
ATOMIC_POSITIONS crystal
Bi 0.500 0.500 0.649
Bi 0.000 0.000 0.149
Rh 0.000 0.500 0.949
Rh 0.500 0.000 0.449
Tc 0.500 0.000 0.857
Tc 0.000 0.500 0.357



# 7
! PBE Mn4InFe, relaxed; values from VASP
! - SG: F-43m
! - Energy relative to the elements: 0.28 eV per atom
! - Final energy: -7.697 eV per atom
&SYSTEM
  ibrav = 0, nat = 6, ntyp = 3
/
ATOMIC_SPECIES
Mn 54.94 Mn.upf
In 114.82 In.upf
Fe 55.84 Fe.upf
CELL_PARAMETERS angstrom
-4.118 -2.410 0.259
-3.382 0.688 -3.304
-0.964 -3.432 -3.182
ATOMIC_POSITIONS crystal
Mn 0.375 0.875 0.375
Mn 0.875 0.375 0.375
Mn 0.375 0.375 0.875
Mn 0.375 0.375 0.375
In 0.000 0.000 0.000
Fe 0.750 0.750 0.750



# 8
! PBE CsSnI2F, relaxed; values from VASP
! - SG: P4/mmm
! - Final energy: -3.402 eV per atom
! - E_form (uncorrected): -1.44 eV/atom
&SYSTEM
  ibrav = 0, nat = 5, ntyp = 4
/
ATOMIC_SPECIES
I 126.90 I.upf
Cs 132.91 Cs.upf
F 19.00 F.upf
Sn 118.71 Sn.upf
CELL_PARAMETERS angstrom
6.475 0.000 0.000
0.000 6.475 0.000
0.000 0.000 4.655
ATOMIC_POSITIONS crystal
I 0.500 0.000 0.000
I 0.000 0.500 0.000
Cs 0.500 0.500 0.500
F 0.000 0.000 0.500
Sn 0.000 0.000 0.000